one:
A plane-wave DFT calculation with PBE-GGA was carried out for an optimized crystal structure of K2InCl4.

Unit cell a=6.7447 b=6.7447 c=8.4098 alpha=115.24 beta=115.24 gamma=38.03
Element x y z (fractional)
K (0.1646, 0.1646, 0.1733)
K (0.8354, 0.8354, 0.8267)
In (0.5000, 0.5000, 0.5000)
Cl (0.1486, 0.1486, 0.5478)
Cl (0.4265, 0.4265, 0.1381)
Cl (0.5735, 0.5735, 0.8619)
Cl (0.8514, 0.8514, 0.4522)

Crystal system: monoclinic

=====

two:
A plane-wave DFT calculation with PBE-GGA was carried out for an optimized crystal structure of K2InCl4.

Unit cell a=8.9416 b=8.9416 c=8.9416 alpha=145.04 beta=145.04 gamma=50.27
Element x y z (fractional)
K (0.1409, 0.1409, 0.0000)
K (0.8591, 0.8591, 0.0000)
In (0.5000, 0.5000, 0.0000)
Cl (0.0000, 0.5000, 0.5000)
Cl (0.3297, 0.3297, 0.0000)
Cl (0.5000, 0.0000, 0.5000)
Cl (0.6703, 0.6703, 0.0000)

Crystal system: tetragonal

=====

If we sort the structures by their calculated energies, the order from most to least stable is two, one.

=====

one:
A plane-wave DFT calculation with PBE-GGA was carried out for an optimized crystal structure of K2In2Cl.

Unit cell a=10.4023 b=10.4023 c=10.4023 alpha=156.64 beta=156.64 gamma=33.27
Element x y z (fractional)
K (0.0904, 0.0904, 0.0000)
K (0.9096, 0.9096, 0.0000)
In (0.2500, 0.7500, 0.5000)
In (0.7500, 0.2500, 0.5000)
Cl (0.5000, 0.5000, 0.0000)

Crystal system: tetragonal

=====

two:
A plane-wave DFT calculation with PBE-GGA was carried out for an optimized crystal structure of K2In2Cl.

Unit cell a=8.6090 b=8.6090 c=8.6090 alpha=144.12 beta=144.12 gamma=51.65
Element x y z (fractional)
K (0.2500, 0.7500, 0.5000)
K (0.7500, 0.2500, 0.5000)
In (0.0892, 0.0892, 0.0000)
In (0.9108, 0.9108, 0.0000)
Cl (0.5000, 0.5000, 0.0000)

Crystal system: tetragonal

=====

If we sort the structures by their calculated energies, the order from most to least stable is one, two.

=====

one:
A plane-wave DFT calculation with PBE-GGA was carried out for an optimized crystal structure of LaInCl2.

Unit cell a=3.5173 b=3.5173 c=10.4671 alpha=90.00 beta=90.00 gamma=90.00
Element x y z (fractional)
La (0.0000, 0.0000, 0.0000)
In (0.0000, 0.0000, 0.5000)
Cl (0.5000, 0.5000, 0.1582)
Cl (0.5000, 0.5000, 0.8418)

Crystal system: tetragonal

=====

two:
A plane-wave DFT calculation with PBE-GGA was carried out for an optimized crystal structure of LaInCl2.

Unit cell a=3.7205 b=3.7205 c=10.3241 alpha=90.00 beta=90.00 gamma=117.32
Element x y z (fractional)
La (0.0000, 0.0000, 0.0000)
In (0.0000, 0.0000, 0.5000)
Cl (0.5000, 0.5000, 0.2038)
Cl (0.5000, 0.5000, 0.7962)

Crystal system: orthorhombic

=====

If we sort the structures by their calculated energies, the order from most to least stable is one, two.

=====

one:
A plane-wave DFT calculation with PBE-GGA was carried out for an optimized crystal structure of LaInCl2.

Unit cell a=10.4561 b=10.4561 c=10.4561 alpha=20.60 beta=20.60 gamma=20.60
Element x y z (fractional)
La (0.0000, 0.0000, 0.0000)
In (0.5000, 0.5000, 0.5000)
Cl (0.2694, 0.2694, 0.2694)
Cl (0.7306, 0.7306, 0.7306)

Crystal system: trigonal

=====

two:
A plane-wave DFT calculation with PBE-GGA was carried out for an optimized crystal structure of LaInCl2.

Unit cell a=5.6452 b=5.6452 c=5.6452 alpha=130.04 beta=130.04 gamma=73.35
Element x y z (fractional)
La (0.0000, 0.0000, 0.0000)
In (0.5000, 0.5000, 0.0000)
Cl (0.2500, 0.7500, 0.5000)
Cl (0.7500, 0.2500, 0.5000)

Crystal system: tetragonal

=====

If we sort the structures by their calculated energies, the order from most to least stable is one, two.

=====

one:
A plane-wave DFT calculation with PBE-GGA was carried out for an optimized crystal structure of LaInCl2.

Unit cell a=5.2387 b=5.2387 c=5.2387 alpha=60.00 beta=60.00 gamma=60.00
Element x y z (fractional)
La (0.0000, 0.0000, 0.0000)
In (0.5000, 0.5000, 0.5000)
Cl (0.2500, 0.2500, 0.2500)
Cl (0.7500, 0.7500, 0.7500)

Crystal system: cubic

=====

two:
A plane-wave DFT calculation with PBE-GGA was carried out for an optimized crystal structure of LaInCl2.

Unit cell a=5.4577 b=5.4974 c=5.4974 alpha=44.58 beta=90.00 gamma=90.00
Element x y z (fractional)
La (0.0000, 0.0000, 0.0000)
In (0.5000, 0.4053, 0.4053)
Cl (0.0000, 0.7092, 0.7092)
Cl (0.5000, 0.1158, 0.1158)

Crystal system: orthorhombic

=====

three:
A plane-wave DFT calculation with PBE-GGA was carried out for an optimized crystal structure of LaInCl2.

Unit cell a=5.4534 b=5.4534 c=3.6179 alpha=90.00 beta=90.00 gamma=103.49
Element x y z (fractional)
La (0.0000, 0.0000, 0.0000)
In (0.5000, 0.5000, 0.0000)
Cl (0.0000, 0.5000, 0.5000)
Cl (0.5000, 0.0000, 0.5000)

Crystal system: orthorhombic

=====

If we sort the structures by their calculated energies, the order from most to least stable is two, three, one.

=====

one:
A plane-wave DFT calculation with PBE-GGA was carried out for an optimized crystal structure of LaInCl2.

Unit cell a=10.6017 b=10.6017 c=10.6017 alpha=20.14 beta=20.14 gamma=20.14
Element x y z (fractional)
La (0.0000, 0.0000, 0.0000)
In (0.5000, 0.5000, 0.5000)
Cl (0.3970, 0.3970, 0.3970)
Cl (0.6030, 0.6030, 0.6030)

Crystal system: trigonal

=====

two:
A plane-wave DFT calculation with PBE-GGA was carried out for an optimized crystal structure of LaInCl2.

Unit cell a=4.7748 b=4.7748 c=4.5069 alpha=90.00 beta=90.00 gamma=90.00
Element x y z (fractional)
La (0.0000, 0.0000, 0.0000)
In (0.5000, 0.5000, 0.0000)
Cl (0.0000, 0.5000, 0.5000)
Cl (0.5000, 0.0000, 0.5000)

Crystal system: tetragonal

=====

If we sort the structures by their calculated energies, the order from most to least stable is one, two.

=====

one:
A plane-wave DFT calculation with PBE-GGA was carried out for an optimized crystal structure of LaIn2Cl.

Unit cell a=3.6881 b=4.7310 c=6.2696 alpha=90.00 beta=90.00 gamma=90.00
Element x y z (fractional)
La (0.0000, 0.0000, 0.0000)
In (0.0000, 0.5000, 0.5000)
In (0.5000, 0.0000, 0.5000)
Cl (0.5000, 0.5000, 0.0000)

Crystal system: orthorhombic

=====

two:
A plane-wave DFT calculation with PBE-GGA was carried out for an optimized crystal structure of LaIn2Cl.

Unit cell a=7.7207 b=7.7207 c=7.7207 alpha=97.23 beta=97.23 gamma=138.45
Element x y z (fractional)
La (0.0000, 0.0000, 0.0000)
La (0.7500, 0.2500, 0.5000)
In (0.0807, 0.6250, 0.9557)
In (0.3750, 0.3307, 0.4557)
In (0.6693, 0.1250, 0.0443)
In (0.8750, 0.9193, 0.5443)
Cl (0.2500, 0.7500, 0.5000)
Cl (0.5000, 0.5000, 0.0000)

Crystal system: tetragonal

=====

three:
A plane-wave DFT calculation with PBE-GGA was carried out for an optimized crystal structure of LaIn2Cl.

Unit cell a=5.4959 b=5.4959 c=5.4959 alpha=60.00 beta=60.00 gamma=60.00
Element x y z (fractional)
La (0.0000, 0.0000, 0.0000)
In (0.2500, 0.2500, 0.2500)
In (0.7500, 0.7500, 0.7500)
Cl (0.5000, 0.5000, 0.5000)

Crystal system: cubic

=====

four:
A plane-wave DFT calculation with PBE-GGA was carried out for an optimized crystal structure of LaIn2Cl.

Unit cell a=3.5189 b=3.5189 c=9.8619 alpha=90.00 beta=90.00 gamma=90.00
Element x y z (fractional)
La (0.0000, 0.0000, 0.0000)
In (0.0000, 0.0000, 0.5255)
In (0.5000, 0.5000, 0.7609)
Cl (0.5000, 0.5000, 0.1682)

Crystal system: tetragonal

=====

If we sort the structures by their calculated energies, the order from most to least stable is four, one, two, three.

=====

one:
A plane-wave DFT calculation with PBE-GGA was carried out for an optimized crystal structure of LaIn2Cl.

Unit cell a=5.2931 b=5.2931 c=5.2931 alpha=119.96 beta=119.96 gamma=90.07
Element x y z (fractional)
La (0.0000, 0.0000, 0.0000)
In (0.2500, 0.7500, 0.5000)
In (0.5000, 0.5000, 0.0000)
Cl (0.7500, 0.2500, 0.5000)

Crystal system: tetragonal

=====

two:
A plane-wave DFT calculation with PBE-GGA was carried out for an optimized crystal structure of LaIn2Cl.

Unit cell a=10.1311 b=10.1311 c=10.1311 alpha=20.66 beta=20.66 gamma=20.66
Element x y z (fractional)
La (0.0000, 0.0000, 0.0000)
In (0.2426, 0.2426, 0.2426)
In (0.7574, 0.7574, 0.7574)
Cl (0.5000, 0.5000, 0.5000)

Crystal system: trigonal

=====

three:
A plane-wave DFT calculation with PBE-GGA was carried out for an optimized crystal structure of LaIn2Cl.

Unit cell a=6.0600 b=6.0600 c=3.5148 alpha=90.00 beta=90.00 gamma=119.78
Element x y z (fractional)
La (0.0000, 0.0000, 0.0000)
In (0.0000, 0.5000, 0.5000)
In (0.5000, 0.0000, 0.5000)
Cl (0.5000, 0.5000, 0.0000)

Crystal system: orthorhombic

=====

four:
A plane-wave DFT calculation with PBE-GGA was carried out for an optimized crystal structure of LaIn2Cl.

Unit cell a=7.5311 b=7.5311 c=7.5311 alpha=152.37 beta=144.11 gamma=45.89
Element x y z (fractional)
La (0.0000, 0.0000, 0.0000)
In (0.2140, 0.7140, 0.5000)
In (0.7860, 0.2860, 0.5000)
Cl (0.5000, 0.5000, 0.0000)

Crystal system: orthorhombic

=====

If we sort the structures by their calculated energies, the order from most to least stable is four, one, three, two.